# 1
Here is a relaxed structure of CdOs2PbO8 from the Alexandria database. Energies are from GGA-PBE.

Calculated values
For the mass density, the calculation gives 6.18 g/cm3. As for the density of states at the Fermi level: 1.686 states/eV/f.u. For the magnetic moment, the calculation gives 4.01 μB per formula unit. Its formation energy from raw total energies is -83.19 kJ per mole of atoms.

```
CdOs2PbO8
1.0
5.972 0.000 0.000
-2.986 5.171 0.000
0.000 0.000 7.209
Cd Os Pb O
1 2 1 8
Direct
0.000 0.000 0.000
0.333 0.667 0.278
0.667 0.333 0.722
0.000 0.000 0.500
0.160 0.835 0.221
0.165 0.324 0.221
0.324 0.160 0.779
0.333 0.667 0.526
0.667 0.333 0.474
0.676 0.840 0.221
0.835 0.676 0.779
0.840 0.165 0.779
```

---

# 2
Here is a relaxed structure of CdOsPb2O6 from the Alexandria database. Energies are from GGA-PBE.

Calculated values
For the mass density, the calculation gives 9.47 g/cm3. As for the density of states at the Fermi level: 2.544 states/eV/f.u. For the magnetic moment, the calculation gives 2.00 μB per formula unit. Its formation energy from raw total energies is -102.29 kJ per mole of atoms.

```
CdOsPb2O6
1.0
5.749 0.000 0.000
0.000 6.004 0.000
-5.685 0.000 8.259
Cd Os Pb O
2 2 4 12
Direct
0.000 0.000 0.000
0.000 0.500 0.500
0.500 0.000 0.500
0.500 0.500 0.000
0.235 0.044 0.743
0.235 0.456 0.243
0.765 0.544 0.757
0.765 0.956 0.257
0.182 0.177 0.463
0.182 0.323 0.963
0.267 0.734 0.442
0.267 0.766 0.942
0.368 0.045 0.273
0.368 0.455 0.773
0.632 0.545 0.227
0.632 0.955 0.727
0.733 0.234 0.058
0.733 0.266 0.558
0.818 0.677 0.037
0.818 0.823 0.537
```

---

# 3
Here is a relaxed structure of PmCd2OsO8 from the Alexandria database. Energies are from GGA-PBE.

Calculated values
For the mass density, the calculation gives 6.56 g/cm3. As for the density of states at the Fermi level: 5.370 states/eV/f.u. For the magnetic moment, the calculation gives 0.60 μB per formula unit. Its formation energy from raw total energies is -125.24 kJ per mole of atoms.

```
PmCd2OsO8
1.0
5.064 0.000 0.000
0.000 6.802 0.000
-0.246 0.000 5.058
Pm Cd Os O
1 2 1 8
Direct
0.000 0.000 0.000
0.500 0.260 0.500
0.500 0.740 0.500
0.000 0.500 0.000
0.175 0.300 0.824
0.175 0.700 0.824
0.272 0.500 0.270
0.314 0.000 0.313
0.686 0.000 0.687
0.728 0.500 0.730
0.825 0.300 0.176
0.825 0.700 0.176
```

---

# 4
Here is a relaxed structure of PmCdOs2O8 from the Alexandria database. Energies are from GGA-PBE.

Calculated values
For the mass density, the calculation gives 7.93 g/cm3. As for the density of states at the Fermi level: 5.437 states/eV/f.u. For the magnetic moment, the calculation gives 2.98 μB per formula unit. Its formation energy from raw total energies is -131.46 kJ per mole of atoms.

```
PmCdOs2O8
1.0
-2.650 2.650 5.712
2.650 -2.650 5.712
2.650 2.650 -5.712
Pm Cd Os O
1 1 2 8
Direct
0.000 0.000 0.000
0.750 0.250 0.500
0.250 0.750 0.500
0.500 0.500 0.000
0.086 0.665 0.084
0.172 0.248 0.584
0.335 0.420 0.421
0.412 0.828 0.077
0.580 0.002 0.916
0.665 0.588 0.416
0.752 0.335 0.923
0.998 0.914 0.579
```

---

# 5
Here is a relaxed structure of Pr2CdOsO8 from the Alexandria database. Energies are from GGA-PBE.

Calculated values
For the mass density, the calculation gives 6.52 g/cm3. For the magnetic moment, the calculation gives 0.00 μB per formula unit. Its formation energy from raw total energies is -183.64 kJ per mole of atoms.

```
Pr2CdOsO8
1.0
4.915 0.000 0.000
-0.320 4.927 0.000
-0.272 -0.301 7.491
Pr Cd Os O
2 1 1 8
Direct
0.049 0.046 0.247
0.951 0.954 0.753
0.500 0.500 0.000
0.500 0.500 0.500
0.199 0.198 0.978
0.227 0.231 0.540
0.277 0.635 0.319
0.364 0.726 0.679
0.636 0.274 0.321
0.723 0.365 0.681
0.773 0.769 0.460
0.801 0.802 0.022
```

---

# 6
Here is a relaxed structure of Rb2CdOsO6 from the Alexandria database. Energies are from GGA-PBE.

Calculated values
For the mass density, the calculation gives 4.68 g/cm3. As for the density of states at the Fermi level: 0.081 states/eV/f.u. For the magnetic moment, the calculation gives 0.00 μB per formula unit. Its formation energy from raw total energies is -106.16 kJ per mole of atoms.

```
Rb2CdOsO6
1.0
6.345 0.000 0.000
-3.173 5.495 0.000
0.000 0.000 5.796
Rb Cd Os O
2 1 1 6
Direct
0.333 0.667 0.342
0.667 0.333 0.658
0.000 0.000 0.000
0.000 0.000 0.500
0.139 0.278 0.692
0.139 0.861 0.692
0.278 0.139 0.308
0.722 0.861 0.692
0.861 0.139 0.308
0.861 0.722 0.308
```

---

# 7
Here is a relaxed structure of Rb2CdOsO4 from the Alexandria database. Energies are from GGA-PBE.

Calculated values
For the mass density, the calculation gives 5.88 g/cm3. As for the density of states at the Fermi level: 7.989 states/eV/f.u. For the magnetic moment, the calculation gives 2.00 μB per formula unit. Its formation energy from raw total energies is -101.16 kJ per mole of atoms.

```
Rb2CdOsO4
1.0
-3.199 3.199 3.706
3.199 -3.199 3.706
3.199 3.199 -3.706
Rb Cd Os O
2 1 1 4
Direct
0.000 0.000 0.000
0.750 0.250 0.500
0.500 0.500 0.000
0.250 0.750 0.500
0.173 0.065 0.632
0.433 0.541 0.368
0.459 0.827 0.892
0.935 0.567 0.108
```

---

# 8
Here is a relaxed structure of Rb3CdOs2O9 from the Alexandria database. Energies are from GGA-PBE.

Calculated values
For the mass density, the calculation gives 7.01 g/cm3. As for the density of states at the Fermi level: 7.417 states/eV/f.u. For the magnetic moment, the calculation gives 0.00 μB per formula unit. Its formation energy from raw total energies is -115.69 kJ per mole of atoms.

```
Rb3CdOs2O9
1.0
5.797 0.000 0.000
-2.898 5.020 0.000
0.000 0.000 7.277
Rb Cd Os O
3 1 2 9
Direct
0.000 0.000 0.000
0.333 0.667 0.658
0.667 0.333 0.342
0.000 0.000 0.500
0.333 0.667 0.156
0.667 0.333 0.844
0.000 0.500 0.000
0.180 0.360 0.301
0.180 0.820 0.301
0.360 0.180 0.699
0.500 0.000 0.000
0.500 0.500 0.000
0.640 0.820 0.301
0.820 0.180 0.699
0.820 0.640 0.699
```